# 1
Compound: ZrTe2Pd
Source: OQMD via LeMat-Bulk
Functional: GGA-PBE
Structure: optimized geometry

POSCAR file:
```
ZrTe2Pd
1.0
0.7100 -1.8956 4.6164
-3.2529 -3.3659 1.8701
1.3956 -4.8109 0.5618
Te Pd Zr
2 1 1
Direct
0.0000 0.0000 0.0000
0.7500 0.7500 0.7500
0.5000 0.5000 0.5000
0.2500 0.2500 0.2500
```

Properties
Electronic total energy (eV per formula unit): -20.45

***

# 2
Compound: HgBSb
Source: OQMD via LeMat-Bulk
Functional: GGA-PBE
Structure: optimized geometry

POSCAR file:
```
HgBSb
1.0
-0.9263 -3.3211 -2.7783
-3.6792 -2.3981 0.5648
-3.3532 0.3815 -2.8665
Sb Hg B
1 1 1
Direct
0.7500 0.7500 0.7500
0.2500 0.2500 0.2500
0.0000 0.0000 0.0000
```

Properties
Electronic total energy (eV per formula unit): -8.05

***

# 3
Compound: Cu2BPb
Source: OQMD via LeMat-Bulk
Functional: GGA-PBE
Structure: optimized geometry

POSCAR file:
```
Cu2BPb
1.0
6.2650 0.0000 0.0000
0.0000 6.2650 0.0000
0.0000 0.0000 6.2650
Pb Cu B
4 8 4
Direct
0.5000 0.0000 0.5000
0.5000 0.5000 0.0000
0.0000 0.5000 0.5000
0.5000 0.5000 0.5000
0.8028 0.1972 0.1972
0.8028 0.8028 0.8028
0.8028 0.8028 0.1972
0.8028 0.1972 0.8028
0.1972 0.1972 0.1972
0.1972 0.8028 0.8028
0.1972 0.1972 0.8028
0.1972 0.8028 0.1972
0.5000 0.0000 0.0000
0.0000 0.0000 0.0000
0.0000 0.0000 0.5000
0.0000 0.5000 0.0000
```

Properties
Electronic total energy (eV per formula unit): -14.87

***

# 4
Compound: BeAlIrPb
Source: OQMD via LeMat-Bulk
Functional: GGA-PBE
Structure: optimized geometry

POSCAR file:
```
BeAlIrPb
1.0
-3.4523 -2.9120 -0.4205
-3.8432 1.3150 -2.0188
-1.0950 -1.6451 -4.0829
Be Pb Al Ir
1 1 1 1
Direct
0.7500 0.7500 0.7500
0.5000 0.5000 0.5000
0.2500 0.2500 0.2500
0.0000 0.0000 0.0000
```

Properties
Electronic total energy (eV per formula unit): -18.59

***

# 5
Compound: ZrNb2Te2
Source: OQMD via LeMat-Bulk
Functional: GGA-PBE
Structure: optimized geometry

POSCAR file:
```
ZrNb2Te2
1.0
-4.4885 -2.4529 6.2163
-7.6717 -1.5963 1.8447
6.4367 -0.5783 -4.8001
Nb Te Zr
2 2 1
Direct
0.7500 0.2500 0.5000
0.2500 0.7500 0.5000
0.6064 0.6064 0.0000
0.3936 0.3936 0.0000
0.0000 0.0000 0.0000
```

Properties
Electronic total energy (eV per formula unit): -34.99

***

# 6
Compound: AlCdInO4
Source: OQMD via LeMat-Bulk
Functional: GGA-PBE
Structure: optimized geometry

POSCAR file:
```
AlCdInO4
1.0
-0.7578 1.2657 -6.0605
-4.9530 -3.7873 -0.1716
-5.1688 6.6673 2.0388
O Cd Al In
16 4 4 4
Direct
0.7748 0.4434 0.0003
0.7748 0.5566 0.4997
0.2231 0.9843 0.5282
0.4434 0.7748 0.7497
0.7769 0.9843 0.4718
0.2231 0.0157 0.9718
0.2252 0.4434 0.9997
0.7769 0.0157 0.0282
0.9843 0.7769 0.2782
0.9843 0.2231 0.2218
0.5566 0.7748 0.2503
0.5566 0.2252 0.2497
0.0157 0.2231 0.7782
0.2252 0.5566 0.5003
0.4434 0.2252 0.7503
0.0157 0.7769 0.7218
0.2565 0.7435 0.1250
0.2565 0.2565 0.3750
0.7435 0.7435 0.8750
0.7435 0.2565 0.6250
0.2261 0.0000 0.7500
0.0000 0.7739 0.5000
0.0000 0.2261 0.0000
0.7739 0.0000 0.2500
0.5000 0.2249 0.0000
0.5000 0.7751 0.5000
0.2249 0.5000 0.7500
0.7751 0.5000 0.2500
```

Properties
Electronic total energy (eV per formula unit): -40.72

***

# 7
Compound: LiMg2Zn
Source: OQMD via LeMat-Bulk
Functional: GGA-PBE
Structure: optimized geometry

POSCAR file:
```
LiMg2Zn
1.0
-0.5429 -4.2714 1.8185
-4.2862 -1.7881 0.5272
-1.4080 -3.5343 -2.7153
Zn Mg Li
1 2 1
Direct
0.5000 0.5000 0.5000
0.7500 0.7500 0.7500
0.0000 0.0000 0.0000
0.2500 0.2500 0.2500
```

Properties
Electronic total energy (eV per formula unit): -6.51

***

# 8
Compound: SmCuTe2PbSe
Source: OQMD via LeMat-Bulk
Functional: GGA-PBE
Structure: optimized geometry

POSCAR file:
```
SmCuTe2PbSe
1.0
2.1293 -7.2739 0.0000
2.1293 7.2739 0.0000
0.0000 0.0000 10.8469
Pb Sm Te Cu Se
2 2 4 2 2
Direct
0.2600 0.7400 0.7500
0.7400 0.2600 0.2500
0.0000 0.0000 0.5000
0.0000 0.0000 0.0000
0.6489 0.3511 0.5683
0.3511 0.6489 0.0683
0.6489 0.3511 0.9317
0.3511 0.6489 0.4317
0.4746 0.5254 0.2500
0.5254 0.4746 0.7500
0.9274 0.0726 0.7500
0.0726 0.9274 0.2500
```

Properties
Electronic total energy (eV per formula unit): -26.78

***

# 9
Compound: Ho2CuS3
Source: OQMD via LeMat-Bulk
Functional: GGA-PBE
Structure: optimized geometry

POSCAR file:
```
Ho2CuS3
1.0
-0.4662 3.3360 -5.5883
-3.1621 -3.2159 4.7154
-0.9709 8.6097 5.2207
S Cu Ho
6 2 4
Direct
0.1450 0.8550 0.9206
0.1450 0.8550 0.5794
0.8550 0.1450 0.0794
0.4026 0.5974 0.7500
0.8550 0.1450 0.4206
0.5974 0.4026 0.2500
0.9806 0.0194 0.2500
0.0194 0.9806 0.7500
0.7310 0.2690 0.7500
0.2690 0.7310 0.2500
0.5000 0.5000 0.5000
0.5000 0.5000 0.0000
```

Properties
Electronic total energy (eV per formula unit): -34.43

***

# 10
Compound: TaCuNiB
Source: OQMD via LeMat-Bulk
Functional: GGA-PBE
Structure: optimized geometry

POSCAR file:
```
TaCuNiB
1.0
0.0000 2.8705 2.8705
2.8705 0.0000 2.8705
2.8705 2.8705 0.0000
B Ni Ta Cu
1 1 1 1
Direct
0.0000 0.0000 0.0000
0.2500 0.2500 0.2500
0.5000 0.5000 0.5000
0.7500 0.7500 0.7500
```

Properties
Electronic total energy (eV per formula unit): -26.31

***

# 11
Compound: GdDy2Cd3Ag3
Source: OQMD via LeMat-Bulk
Functional: GGA-PBE
Structure: optimized geometry

POSCAR file:
```
GdDy2Cd3Ag3
1.0
3.9117 0.0000 0.0000
0.0000 6.8169 3.9301
0.0000 -6.8169 3.9301
Cd Ag Dy Gd
3 3 2 1
Direct
0.5000 0.2625 0.2625
0.5000 0.0008 0.7368
0.5000 0.7368 0.0008
0.5000 0.6671 0.3319
0.0000 0.0006 0.0006
0.5000 0.3319 0.6671
0.0000 0.4046 0.0000
0.0000 0.0000 0.4046
0.0000 0.5956 0.5956
```

Properties
Energy relative to the elements (eV per atom): -0.338
Electronic total energy (eV per formula unit): -28.06

***

# 12
Compound: Dy2Ge5Os3
Source: OQMD via LeMat-Bulk
Functional: GGA-PBE
Structure: optimized geometry

POSCAR file:
```
Dy2Ge5Os3
1.0
-4.9538 6.2334 2.9162
4.9538 -6.2334 2.9162
4.9538 6.2334 -2.9162
Ge Os Dy
10 6 4
Direct
0.0423 0.7500 0.2923
0.9577 0.2500 0.7077
0.5859 0.8247 0.4107
0.9141 0.3247 0.2388
0.4577 0.7500 0.7077
0.0859 0.6753 0.7612
0.4141 0.1753 0.5893
0.2500 0.2500 0.0000
0.5423 0.2500 0.2923
0.7500 0.7500 0.0000
0.2500 0.7500 0.5000
0.3515 0.4048 0.7563
0.1485 0.9048 0.0533
0.7500 0.2500 0.5000
0.6485 0.5952 0.2437
0.8515 0.0952 0.9467
0.1416 0.2305 0.3721
0.8584 0.7695 0.6279
0.3584 0.7305 0.0889
0.6416 0.2695 0.9111
```

Properties
Electronic total energy (eV per formula unit): -70.47

***

# 13
Compound: Ga2Mo4CN
Source: OQMD via LeMat-Bulk
Functional: GGA-PBE
Structure: optimized geometry

POSCAR file:
```
Ga2Mo4CN
1.0
-2.8014 0.6503 0.9053
0.6933 -2.8054 -0.8598
3.3900 -3.0481 12.6790
N Mo Ga C
1 4 2 1
Direct
0.0000 0.0000 0.5000
0.6667 0.3333 0.9103
0.6667 0.3333 0.5922
0.3333 0.6667 0.4078
0.3333 0.6667 0.0897
0.6667 0.3333 0.2493
0.3333 0.6667 0.7507
0.0000 0.0000 0.0000
```

Properties
Electronic total energy (eV per formula unit): -67.89

***

# 14
Compound: AlCdAs2
Source: OQMD via LeMat-Bulk
Functional: GGA-PBE
Structure: optimized geometry

POSCAR file:
```
AlCdAs2
1.0
0.0000 3.4219 3.4219
3.4219 0.0000 3.4219
3.4219 3.4219 0.0000
Cd Al As
1 1 2
Direct
0.5000 0.5000 0.5000
0.7500 0.7500 0.7500
0.2500 0.2500 0.2500
0.0000 0.0000 0.0000
```

Properties
Electronic total energy (eV per formula unit): -12.74

***

# 15
Compound: Gd2NbP3
Source: OQMD via LeMat-Bulk
Functional: GGA-PBE
Structure: optimized geometry

POSCAR file:
```
Gd2NbP3
1.0
3.8668 0.0000 0.0000
-1.9334 3.3487 0.0000
0.0000 0.0000 9.4950
Gd P Nb
2 3 1
Direct
0.6667 0.3333 0.1800
0.3333 0.6667 0.8200
0.6667 0.3333 0.6423
0.0000 0.0000 0.0000
0.3333 0.6667 0.3577
0.0000 0.0000 0.5000
```

Properties
Electronic total energy (eV per formula unit): -43.24

***

# 16
Compound: KTaFeTe3
Source: OQMD via LeMat-Bulk
Functional: GGA-PBE
Structure: optimized geometry

POSCAR file:
```
KTaFeTe3
1.0
1.8870 -8.5385 0.0000
1.8870 8.5385 0.0000
0.0000 0.0000 10.2016
K Te Fe Ta
2 6 2 2
Direct
0.2483 0.7517 0.2500
0.7517 0.2483 0.7500
0.6189 0.3811 0.0571
0.9228 0.0772 0.2500
0.6189 0.3811 0.4429
0.3811 0.6189 0.9429
0.0772 0.9228 0.7500
0.3811 0.6189 0.5571
0.5248 0.4752 0.2500
0.4752 0.5248 0.7500
0.0000 0.0000 0.5000
0.0000 0.0000 0.0000
```

Properties
Electronic total energy (eV per formula unit): -32.96

***

# 17
Compound: AcMo2Ir
Source: OQMD via LeMat-Bulk
Functional: GGA-PBE
Structure: optimized geometry

POSCAR file:
```
AcMo2Ir
1.0
-1.0996 4.3453 -0.0725
1.0431 -2.1090 -3.8158
-10.5665 -2.6973 -1.3975
Ac Mo Ir
2 4 2
Direct
0.1672 0.8328 0.2500
0.8328 0.1672 0.7500
0.8334 0.1666 0.4594
0.8334 0.1666 0.0406
0.1666 0.8334 0.5406
0.1666 0.8334 0.9594
0.5000 0.5000 0.5000
0.5000 0.5000 0.0000
```

Properties
Energy relative to the elements (eV per atom): 0.287
Electronic total energy (eV per formula unit): -33.51

***

# 18
Compound: NdDyGe2Pd4
Source: OQMD via LeMat-Bulk
Functional: GGA-PBE
Structure: optimized geometry

POSCAR file:
```
NdDyGe2Pd4
1.0
4.4220 0.0000 0.0000
-2.2110 3.8295 0.0000
0.0000 0.0000 9.1812
Ge Pd Dy Nd
2 4 1 1
Direct
0.3333 0.6667 0.2432
0.3333 0.6667 0.7568
0.0000 0.0000 0.6761
0.6667 0.3333 0.8350
0.0000 0.0000 0.3239
0.6667 0.3333 0.1650
0.0000 0.0000 0.0000
0.6667 0.3333 0.5000
```

Properties
Electronic total energy (eV per formula unit): -45.81

***

# 19
Compound: Na4Ga2AgAu
Source: OQMD via LeMat-Bulk
Functional: GGA-PBE
Structure: optimized geometry

POSCAR file:
```
Na4Ga2AgAu
1.0
-1.4777 -2.9008 -3.6490
-3.6350 -1.6795 2.8071
-4.1155 5.0213 -2.3251
Au Ga Ag Na
1 2 1 4
Direct
0.5000 0.5000 0.5000
0.0000 0.5000 0.7471
0.5000 0.0000 0.2529
0.0000 0.0000 0.0000
0.0000 0.0000 0.5000
0.5000 0.5000 0.0000
0.0000 0.5000 0.2514
0.5000 0.0000 0.7486
```

Properties
Electronic total energy (eV per formula unit): -18.28

***

# 20
Compound: B3PbW4
Source: OQMD via LeMat-Bulk
Functional: GGA-PBE
Structure: optimized geometry

POSCAR file:
```
B3PbW4
1.0
-2.9260 -0.1954 -1.2406
2.5393 0.0996 -1.9185
1.4074 -24.7510 0.5780
B W Pb
6 8 2
Direct
0.0000 0.0000 0.5000
0.6667 0.3333 0.1050
0.0000 0.0000 0.0000
0.3333 0.6667 0.6050
0.3333 0.6667 0.8950
0.6667 0.3333 0.3950
0.0000 0.0000 0.8498
0.0000 0.0000 0.3498
0.0000 0.0000 0.6502
0.0000 0.0000 0.1502
0.6667 0.3333 0.5538
0.3333 0.6667 0.4462
0.3333 0.6667 0.0538
0.6667 0.3333 0.9462
0.6667 0.3333 0.7500
0.3333 0.6667 0.2500
```

Properties
Electronic total energy (eV per formula unit): -75.25